1.
Density functional theory data (PBE-GGA) for a relaxed InAs crystal.

The calculated density is 6.13 g/cm³. The calculation puts the calculated formation energy at 0.30 eV/f.u. As for the total energy: -3.54 eV per atom. The space-group type is R-3m (166).

a = 6.5650 Å, b = 6.5650 Å, c = 6.5650 Å
α = 39.44°, β = 39.44°, γ = 39.44°
Closest atoms and distances in Å follow each position.
Positions (direct):
1 As 0.6429 0.6429 0.6429  3 As 2.70
2 In 0.8868 0.8868 0.8868  3 As 3.03, 3 In 3.21
3 As 0.3571 0.3571 0.3571  3 As 2.70
4 In 0.1132 0.1132 0.1132  3 As 3.03, 3 In 3.21

---

2.
Density functional theory data (PBE-GGA) for a relaxed InAs crystal.

The calculated density is 6.55 g/cm³. The calculation puts the calculated formation energy at 0.00 eV/f.u. As for the total energy: -3.69 eV per atom. The space-group type is Pnma (62).

a = 4.0537 Å, b = 6.9129 Å, c = 6.8663 Å
α = 90.00°, β = 90.00°, γ = 90.00°
Closest atoms and distances in Å follow each position.
Positions (direct):
1 As 0.7500 0.7494 0.4176  6 In 2.86-2.90
2 In 0.7500 0.0007 0.7493  6 As 2.86-2.90
3 In 0.7500 0.5007 0.7507  6 As 2.86-2.90
4 As 0.2500 0.2506 0.5824  6 In 2.86-2.90
5 As 0.2500 0.7506 0.9176  6 In 2.86-2.90
6 In 0.2500 0.9993 0.2507  6 As 2.86-2.90
7 As 0.7500 0.2494 0.0824  6 In 2.86-2.90
8 In 0.2500 0.4993 0.2493  6 As 2.86-2.90

---

3.
Density functional theory data (PBE-GGA) for a relaxed InAs crystal.

The calculated density is 4.28 g/cm³. The calculation puts the calculated formation energy at -0.24 eV/f.u. As for the total energy: -3.81 eV per atom. The space-group type is Pm-3n (223).

a = 7.6136 Å, b = 7.6136 Å, c = 7.6136 Å
α = 90.00°, β = 90.00°, γ = 90.00°
Closest atoms and distances in Å follow each position.
Positions (direct):
1 As 0.5000 0.0000 0.2500  4 In 2.69
2 As 0.0000 0.7500 0.5000  4 In 2.69
3 In 0.7500 0.0000 0.5000  4 As 2.69
4 In 0.0000 0.5000 0.2500  4 As 2.69
5 In 0.2500 0.0000 0.5000  4 As 2.69
6 In 0.5000 0.2500 0.0000  4 As 2.69
7 As 0.2500 0.5000 0.0000  4 In 2.69
8 As 0.0000 0.2500 0.5000  4 In 2.69
9 As 0.7500 0.5000 0.0000  4 In 2.69
10 In 0.0000 0.5000 0.7500  4 As 2.69
11 As 0.5000 0.0000 0.7500  4 In 2.69
12 In 0.5000 0.7500 0.0000  4 As 2.69